1.
The following is a PBE-GGA calculation of a relaxed K2P2PdS6 crystal, from the Alexandria database.

**Total magnetization**: 0.000 μB/atom
**Raw total energy**: -4.4084 eV per atom
**ΔE_f (raw)**: -5.521 eV per formula unit
**Energy above the most stable polymorph in this dataset**: 188 meV/atom
**Fermi-level density of states**: 10.36 states/eV/cell

abc: 6.7547 6.7547 20.3747
angles: 90.00 90.00 120.00
Space group R-3m (No. 166, hexagonal axes)
One atom of each set of equivalent atoms:
K: 0.0000 0.0000 0.2315 [6 per cell]
P: 0.0000 0.0000 0.4302 [6 per cell]
Pd: 0.0000 0.0000 0.0000 [3 per cell]
S: 0.0091 0.5045 0.7507 [18 per cell]

2.
The following is a PBE-GGA calculation of a relaxed KP2PdS8 crystal, from the Alexandria database.

**Total magnetization**: 0.022 μB/atom
**Raw total energy**: -4.3991 eV per atom
**ΔE_f (raw)**: -2.659 eV per formula unit
**Fermi-level density of states**: 12.87 states/eV/cell

abc: 5.7982 5.7982 9.7108
angles: 90.00 90.00 120.00
Space group P-3 (No. 147)
One atom of each set of equivalent atoms:
K: 0.0000 0.0000 0.0000 [1 per cell]
P: 0.3333 0.6667 0.7123 [2 per cell]
Pd: 0.0000 0.0000 0.5000 [1 per cell]
S: 0.0152 0.6779 0.3457 [6 per cell]
S: 0.3333 0.6667 0.9184 [2 per cell]

3.
The following is a PBE-GGA calculation of a relaxed K2PPdS4 crystal, from the Alexandria database.

**Total magnetization**: 0.080 μB/atom
**Raw total energy**: -4.2698 eV per atom
**ΔE_f (raw)**: -4.851 eV per formula unit
**Fermi-level density of states**: 48.28 states/eV/cell

abc: 6.315 12.608 21.987
angles: 90.00 90.00 90.00
Space group Fddd (No. 70, origin choice 2)
One atom of each set of equivalent atoms:
K: 0.125 0.125 0.302 [16 per cell]
P: 0.125 0.125 0.625 [8 per cell]
Pd: 0.125 0.125 0.125 [8 per cell]
S: 0.076 0.278 0.826 [32 per cell]

4.
The following is a PBE-GGA calculation of a relaxed KPPdS4 crystal, from the Alexandria database.

**Total magnetization**: 0.000 μB/atom
**Raw total energy**: -4.6755 eV per atom
**ΔE_f (raw)**: -4.518 eV per formula unit

abc: 8.714 8.714 10.904
angles: 90.00 90.00 90.00
Space group P4_2/mnm (No. 136)
One atom of each set of equivalent atoms:
K: 0.000 0.500 0.250 [4 per cell]
P: 0.249 0.249 0.000 [4 per cell]
Pd: 0.000 0.000 0.000 [2 per cell]
Pd: 0.000 0.000 0.500 [2 per cell]
S: 0.015 0.731 0.500 [8 per cell]
S: 0.143 0.143 0.144 [8 per cell]

Table of volume (Å³ per cell), in record order: 805; 283; 1751; 828